[1]
YErU2P4 | the Alexandria database | GGA-PBE | optimized geometry; total magnetization = 4.6 μB per formula unit; total DFT energy (no corrections) = -8.20 eV per atom; calculated volume = 176 Å³/f.u.
1.0
3.9416 0.0000 0.0000
0.0000 6.8244 0.1168
0.0000 -2.3886 6.5067
Er U P Y
1 2 4 1
Direct
0.0000 0.0000 0.0000
0.5000 0.0000 0.5000
0.0000 0.5000 0.5000
0.5000 0.7504 0.7466
0.0000 0.7530 0.2546
0.5000 0.2496 0.2534
0.0000 0.2470 0.7454
0.5000 0.5000 0.0000

***

[2]
Rb4Pr3NpS8 | the Alexandria database | GGA-PBE | optimized geometry; total magnetization = 4.0 μB per formula unit; raw formation energy = -1.694 eV per atom; total DFT energy (no corrections) = -5.70 eV per atom; calculated volume = 479 Å³/f.u.
1.0
8.4720 0.0000 0.0000
0.0000 9.1163 0.4485
-4.2360 -4.2310 5.9938
S Rb Pr Np
8 4 3 1
Direct
0.2618 0.3043 0.0331
0.7382 0.6957 0.9669
0.7333 0.6999 0.4666
0.7713 0.3043 0.5426
0.7713 0.3043 0.0331
0.2287 0.6957 0.9669
0.2287 0.6957 0.4574
0.2667 0.3001 0.5334
0.5000 0.0000 0.0000
0.0000 0.0000 0.5000
0.5000 0.0000 0.5000
0.0000 0.0000 0.0000
0.5000 0.5000 0.0000
0.5000 0.5000 0.5000
0.0000 0.5000 0.5000
0.0000 0.5000 0.0000

***

[3]
K2Li2In | the Alexandria database | GGA-PBE | optimized geometry; total magnetization = 0.0 μB per formula unit; total DFT energy (no corrections) = -1.71 eV per atom; calculated volume = 177 Å³/f.u.
1.0
-3.3400 4.4643 5.2440
3.7801 -3.6834 5.5434
4.5384 3.9488 -0.4710
K Li In
4 4 2
Direct
0.6870 0.8130 0.5000
0.8130 0.3130 0.5000
0.3130 0.1870 0.5000
0.1870 0.6870 0.5000
0.3476 0.8476 0.0000
0.6524 0.1524 0.0000
0.8476 0.6524 0.0000
0.1524 0.3476 0.0000
0.0000 0.0000 0.0000
0.5000 0.5000 0.0000

***

[4]
NbIrRu2 | the Alexandria database | GGA-PBE | optimized geometry; total magnetization = 0.0 μB per formula unit; relative energy among the computed polymorphs = 650 meV per atom; total DFT energy (no corrections) = -9.04 eV per atom; calculated volume = 66 Å³/f.u.
1.0
3.8478 0.0000 0.0000
0.0000 3.8478 0.0000
1.9239 1.9239 8.9546
Nb Ru Ir
2 4 2
Direct
0.2500 0.7500 0.5000
0.5000 0.5000 0.0000
0.0987 0.6250 0.2500
0.8750 0.9013 0.7500
0.3750 0.3487 0.7500
0.6513 0.1250 0.2500
0.0000 0.0000 0.0000
0.7500 0.2500 0.5000

***

[5]
SiRhW2 | the Alexandria database | GGA-PBE | optimized geometry; total magnetization = 0.0 μB per formula unit; raw formation energy = 0.046 eV per atom; total DFT energy (no corrections) = -9.62 eV per atom; calculated volume = 60 Å³/f.u.
1.0
8.9169 -0.0084 -0.0049
8.4792 2.7592 -0.0049
8.4792 1.3408 2.4115
W Rh Si
2 1 1
Direct
0.4984 0.4984 0.4984
0.0016 0.0016 0.0016
0.2500 0.2500 0.2500
0.7500 0.7500 0.7500

***

[6]
PPbSe2 | the Alexandria database | GGA-PBE | optimized geometry; total magnetization = 0.0 μB per formula unit; relative energy among the computed polymorphs = 487 meV per atom; raw formation energy = 0.358 eV per atom; total DFT energy (no corrections) = -3.66 eV per atom; calculated volume = 90 Å³/f.u.
1.0
0.0000 3.5531 3.5531
3.5531 0.0000 3.5531
3.5531 3.5531 0.0000
Se P Pb
2 1 1
Direct
0.2500 0.2500 0.2500
0.7500 0.7500 0.7500
0.0000 0.0000 0.0000
0.5000 0.5000 0.5000

***

[7]
Co2NiW | the Alexandria database | GGA-PBE | optimized geometry; total magnetization = 1.1 μB per formula unit; relative energy among the computed polymorphs = 17 meV per atom; total DFT energy (no corrections) = -8.26 eV per atom; calculated volume = 47 Å³/f.u.
1.0
4.4719 -0.0075 -0.0106
1.6037 4.1745 0.0087
-3.0329 -2.0918 2.5337
Ni W Co
1 1 2
Direct
0.4999 0.5000 0.0000
0.2499 0.7500 0.5000
0.0001 0.9999 0.0001
0.7500 0.2500 0.5000

***

[8]
Ce2BeSi3Ni4 | the Alexandria database | GGA-PBE | optimized geometry; total magnetization = 0.0 μB per formula unit; raw formation energy = -0.706 eV per atom; total DFT energy (no corrections) = -6.20 eV per atom; calculated volume = 150 Å³/f.u.
1.0
3.9761 0.0000 0.0000
0.0000 3.9761 0.0000
0.0000 0.0000 9.5055
Ce Si Ni Be
2 3 4 1
Direct
0.5000 0.0000 0.2545
0.0000 0.5000 0.7455
0.0000 0.0000 0.5000
0.0000 0.5000 0.1293
0.5000 0.0000 0.8707
0.0000 0.5000 0.3768
0.0000 0.0000 0.0000
0.5000 0.0000 0.6232
0.5000 0.5000 0.0000
0.5000 0.5000 0.5000

***

Which value of total DFT energy (no corrections) does entry 2 give?
-5.70 eV per atom

***

Among the records above, which one has the highest total magnetization?
YErU2P4

***

calculated volume of number 2 (Rb4Pr3NpS8)?
479 Å³/f.u.

***

Which formula does entry 8 have?
Ce2BeSi3Ni4